The following is a DFT calculation (GGA-PBE) of a relaxed structure of CdWSeN2.

Structure (CIF):
```
data_CdWSeN2
_space_group_name_H-M_alt 'P 1'
_space_group_IT_number 1
_cell_length_a 3.9351
_cell_length_b 3.9351
_cell_length_c 5.3887
_cell_angle_alpha 90.00
_cell_angle_beta 90.00
_cell_angle_gamma 90.00
loop_
_space_group_symop_operation_xyz
'x,y,z'
loop_
_atom_site_label
_atom_site_type_symbol
_atom_site_fract_x
_atom_site_fract_y
_atom_site_fract_z
N1 N 0.0000 0.5000 0.0000
N2 N 0.5000 0.0000 0.0000
Se1 Se 0.0000 0.0000 0.5000
W1 W 0.0000 0.0000 0.0000
Cd1 Cd 0.5000 0.5000 0.5000
```

Calculated values
M_tot = 0.000 μB/f.u.
Energy relative to the elements, uncorrected = 211.2 meV per atom